A geometry-optimized Cs3TbHo3Te8 structure. Source: Alexandria, functional PBE.

```
data_Cs3TbHo3Te8
_chemical_formula_sum 'Cs9 Tb3 Ho9 Te24'
_cell_length_a 8.8349
_cell_length_b 8.8349
_cell_length_c 27.6325
_cell_angle_alpha 90.00
_cell_angle_beta 90.00
_cell_angle_gamma 120.00
_space_group_name_H-M_alt 'R -3 m'
_space_group_IT_number 166
_space_group_name_Hall '-R 3 2"'
loop_
_atom_site_label
_atom_site_type_symbol
_atom_site_fract_x
_atom_site_fract_y
_atom_site_fract_z
Cs1 Cs 0.0000 0.5000 0.0000
Tb1 Tb 0.0000 0.0000 0.5000
Ho1 Ho 0.0000 0.5000 0.5000
Te1 Te 0.0000 0.0000 0.2299
Te2 Te 0.0043 0.5021 0.7698
```

Values from the calculation:
* DOS at the Fermi energy: 0.4874 states/eV/atom
* DFT total energy: -4.393 eV/atom
* volume: 41.51 Å³ per atom

---

A geometry-optimized Rb2TiInO4 structure. Source: Alexandria, functional PBE.

```
data_Rb2TiInO4
_chemical_formula_sum 'Rb4 Ti2 In2 O8'
_cell_length_a 6.1107
_cell_length_b 6.1107
_cell_length_c 8.7291
_cell_angle_alpha 90.00
_cell_angle_beta 90.00
_cell_angle_gamma 90.00
_space_group_name_H-M_alt 'I -4'
_space_group_IT_number 82
loop_
_space_group_symop_operation_xyz
'x,y,z'
'y,-x,-z'
'-x,-y,z'
'-y,x,-z'
'x+1/2,y+1/2,z+1/2'
'y+1/2,-x+1/2,-z+1/2'
'-x+1/2,-y+1/2,z+1/2'
'-y+1/2,x+1/2,-z+1/2'
loop_
_atom_site_label
_atom_site_type_symbol
_atom_site_fract_x
_atom_site_fract_y
_atom_site_fract_z
Rb1 Rb 0.0000 0.0000 0.0000
Rb2 Rb 0.0000 0.5000 0.2500
Ti1 Ti 0.0000 0.5000 0.7500
In1 In 0.0000 0.0000 0.5000
O1 O 0.1293 0.7175 0.6332
```

Values from the calculation:
* DOS at the Fermi energy: 0.4815 states/eV/atom
* DFT total energy: -6.027 eV/atom
* volume: 20.37 Å³ per atom

---

A geometry-optimized K2NbGe structure. Source: Alexandria, functional PBE.

```
data_K2NbGe
_chemical_formula_sum 'K8 Nb4 Ge4'
_cell_length_a 12.7609
_cell_length_b 12.7609
_cell_length_c 5.1107
_cell_angle_alpha 90.00
_cell_angle_beta 90.00
_cell_angle_gamma 90.00
_space_group_name_H-M_alt 'I -4 2 d'
_space_group_IT_number 122
_space_group_name_Hall 'I -4 2bw'
loop_
_atom_site_label
_atom_site_type_symbol
_atom_site_fract_x
_atom_site_fract_y
_atom_site_fract_z
K1 K 0.0664 0.2500 0.1250
Nb1 Nb 0.0000 0.0000 0.5000
Ge1 Ge 0.0000 0.0000 0.0000
```

Values from the calculation:
* DOS at the Fermi energy: 0.5617 states/eV/atom
* energy relative to the elements: 3.07 eV/f.u.
* DFT total energy: -3.454 eV/atom
* volume: 52.01 Å³ per atom

---

A geometry-optimized Li2MgTcH5 structure. Source: Alexandria, functional PBE.

```
data_Li2MgTcH5
_chemical_formula_sum 'Li4 Mg2 Tc2 H10'
_cell_length_a 3.4351
_cell_length_b 4.6930
_cell_length_c 9.6628
_cell_angle_alpha 90.00
_cell_angle_beta 90.00
_cell_angle_gamma 90.00
_space_group_name_H-M_alt 'I m m m'
_space_group_IT_number 71
_space_group_name_Hall '-I 2 2'
loop_
_atom_site_label
_atom_site_type_symbol
_atom_site_fract_x
_atom_site_fract_y
_atom_site_fract_z
Li1 Li 0.0000 0.0000 0.2127
Mg1 Mg 0.0000 0.5000 0.0000
Tc1 Tc 0.0000 0.5000 0.5000
H1 H 0.0000 0.0000 0.0000
H2 H 0.0000 0.2541 0.3619
```

Values from the calculation:
* DFT total energy: -3.882 eV/atom
* volume: 8.65 Å³ per atom

---

A geometry-optimized MnSe structure. Source: Alexandria, functional PBE.

```
data_MnSe
_chemical_formula_sum 'Mn4 Se4'
_cell_length_a 4.8930
_cell_length_b 4.8930
_cell_length_c 7.6249
_cell_angle_alpha 90.00
_cell_angle_beta 90.00
_cell_angle_gamma 120.00
_space_group_name_H-M_alt 'P 63/m m c'
_space_group_IT_number 194
_space_group_name_Hall '-P 6c 2c'
loop_
_atom_site_label
_atom_site_type_symbol
_atom_site_fract_x
_atom_site_fract_y
_atom_site_fract_z
Mn1 Mn 0.3333 0.6667 0.0843
Se1 Se 0.0000 0.0000 0.2500
Se2 Se 0.3333 0.6667 0.7500
```

Values from the calculation:
* DOS at the Fermi energy: 0.8192 states/eV/atom
* DFT total energy: -5.809 eV/atom
* volume: 19.76 Å³ per atom

---

A geometry-optimized YFePH structure. Source: Alexandria, functional PBE.

```
data_YFePH
_chemical_formula_sum 'Y2 Fe2 P2 H2'
_cell_length_a 3.7674
_cell_length_b 3.7674
_cell_length_c 7.4412
_cell_angle_alpha 90.00
_cell_angle_beta 90.00
_cell_angle_gamma 90.00
_space_group_name_H-M_alt 'P 4/n m m'
_space_group_IT_number 129
loop_
_space_group_symop_operation_xyz
'x,y,z'
'-x,-y,-z'
'-y+1/2,x,z'
'y+1/2,-x,-z'
'-x+1/2,-y+1/2,z'
'x+1/2,y+1/2,-z'
'y,-x+1/2,z'
'-y,x+1/2,-z'
'x+1/2,-y,-z'
'-x+1/2,y,z'
'-y,-x,-z'
'y,x,z'
'-x,y+1/2,-z'
'x,-y+1/2,z'
'y+1/2,x+1/2,-z'
'-y+1/2,-x+1/2,z'
loop_
_atom_site_label
_atom_site_type_symbol
_atom_site_fract_x
_atom_site_fract_y
_atom_site_fract_z
Y1 Y 0.2500 0.2500 0.1738
Fe1 Fe 0.2500 0.7500 0.5000
P1 P 0.2500 0.2500 0.6555
H1 H 0.2500 0.7500 0.0000
```

Values from the calculation:
* DOS at the Fermi energy: 0.6096 states/eV/atom
* DFT total energy: -6.877 eV/atom
* volume: 13.20 Å³ per atom